Entry 1:
First-principles (PBE-GGA) data for a relaxed structure of TaTlGa2, as listed in the Alexandria database.

Lattice parameters (Å, degrees): 7.638 7.638 5.811 90.00 90.00 90.00
Space group I-42d (No. 122)
Unique sites:
Ta 0.000 0.000 0.000
Tl 0.000 0.000 0.500
Ga 0.227 0.750 0.125

Volume: 339.0 Å³/cell
N(E_F): 0.406 states/eV/atom
Size of the total moment: 0.00 μB per cell
ΔE to the lowest computed polymorph: 410 meV per atom
Energy relative to the elements: 0.5388 eV per atom



Entry 2:
First-principles (PBE-GGA) data for a relaxed structure of Ta2Tl2Ga, as listed in the Alexandria database.

Lattice parameters (Å, degrees): 4.001 4.001 14.098 90.00 90.00 90.00
Space group I4/mmm (No. 139)
Unique sites:
Ta 0.000 0.000 0.087
Tl 0.000 0.500 0.250
Ga 0.000 0.000 0.500

Volume: 225.7 Å³/cell
N(E_F): 0.647 states/eV/atom
Size of the total moment: 0.00 μB per cell
ΔE to the lowest computed polymorph: 455 meV per atom
Energy relative to the elements: 0.8688 eV per atom



Entry 3:
First-principles (PBE-GGA) data for a relaxed structure of TaTlGa2, as listed in the Alexandria database.

Lattice parameters (Å, degrees): 6.838 6.838 6.838 90.00 90.00 90.00
Space group Fm-3m (No. 225)
Unique sites:
Ta 0.000 0.000 0.000
Tl 0.000 0.000 0.500
Ga 0.250 0.250 0.250

Volume: 319.8 Å³/cell
N(E_F): 0.841 states/eV/atom
Size of the total moment: 5.34 μB per cell
ΔE to the lowest computed polymorph: 498 meV per atom
Energy relative to the elements: 0.6261 eV per atom



> Which value of ΔE to the lowest computed polymorph does entry 2 give?

455 meV per atom